[1]
Pm4AsS2Cl after structural relaxation, computed with PBE-GGA.

Properties
For the formation energy (no corrections), the calculation gives -1.78 eV/atom.

Structure (POSCAR):
```
Pm4AsS2Cl
1.0
7.108 0.000 0.000
0.000 4.120 0.000
-2.400 0.000 6.728
Pm As S Cl
4 1 2 1
Direct
0.226 0.000 0.221 Pm
0.240 0.500 0.767 Pm
0.760 0.500 0.233 Pm
0.774 0.000 0.779 Pm
0.000 0.000 0.500 As
0.000 0.500 0.000 S
0.500 0.000 0.000 S
0.500 0.500 0.500 Cl
```

[2]
Li2ZnHgAs after structural relaxation, computed with PBE-GGA.

Properties
The calculation puts the energy of formation from the pure elements at -231 meV/atom.

Structure (POSCAR):
```
Li2ZnHgAs
1.0
4.905 0.000 0.000
0.000 4.905 0.000
0.000 0.000 4.950
Li Zn Hg As
2 1 1 1
Direct
0.000 0.500 0.000 Li
0.500 0.000 0.000 Li
0.000 0.000 0.500 Zn
0.500 0.500 0.500 Hg
0.000 0.000 0.000 As
```

[3]
Th5Sn2Ir2 after structural relaxation, computed with PBE-GGA.

Properties
The calculation puts the energy of formation from the pure elements at -542 meV/atom.

Structure (POSCAR):
```
Th5Sn2Ir2
1.0
-8.532 4.702 3.209
8.532 -4.702 3.209
8.532 4.702 -3.209
Th Sn Ir
10 4 4
Direct
0.210 0.060 0.270 Th
0.210 0.440 0.649 Th
0.224 0.067 0.657 Th
0.410 0.567 0.343 Th
0.692 0.158 0.238 Th
0.692 0.954 0.034 Th
0.790 0.560 0.351 Th
0.790 0.940 0.730 Th
0.920 0.454 0.762 Th
0.920 0.658 0.966 Th
0.252 0.402 0.017 Sn
0.252 0.736 0.351 Sn
0.385 0.236 0.983 Sn
0.385 0.902 0.649 Sn
0.706 0.206 0.500 Ir
0.706 0.706 0.000 Ir
0.717 0.588 0.630 Ir
0.958 0.088 0.370 Ir
```

[4]
LuNbIrRh after structural relaxation, computed with PBE-GGA.

Properties
The calculation puts the energy of formation from the pure elements at -569 meV/atom.

Structure (POSCAR):
```
LuNbIrRh
1.0
0.000 3.277 3.277
3.277 0.000 3.277
3.277 3.277 0.000
Lu Nb Ir Rh
1 1 1 1
Direct
0.000 0.000 0.000 Lu
0.500 0.500 0.500 Nb
0.250 0.250 0.250 Ir
0.750 0.750 0.750 Rh
```

[5]
Ba5Na2InHg2 after structural relaxation, computed with PBE-GGA.

Properties
The calculation puts the energy of formation from the pure elements at -276 meV/atom.

Structure (POSCAR):
```
Ba5Na2InHg2
1.0
14.542 0.000 0.000
0.000 14.542 0.000
0.000 0.000 4.287
Ba Na In Hg
10 4 2 4
Direct
0.000 0.500 0.000 Ba
0.046 0.198 0.000 Ba
0.198 0.954 0.000 Ba
0.302 0.454 0.000 Ba
0.454 0.698 0.000 Ba
0.500 0.000 0.000 Ba
0.546 0.302 0.000 Ba
0.698 0.546 0.000 Ba
0.802 0.046 0.000 Ba
0.954 0.802 0.000 Ba
0.194 0.694 0.500 Na
0.306 0.194 0.500 Na
0.694 0.806 0.500 Na
0.806 0.306 0.500 Na
0.000 0.000 0.500 In
0.500 0.500 0.500 In
0.135 0.365 0.500 Hg
0.365 0.865 0.500 Hg
0.635 0.135 0.500 Hg
0.865 0.635 0.500 Hg
```

[6]
Tb3Ho8Pu after structural relaxation, computed with PBE-GGA.

Properties
The calculation puts the energy of formation from the pure elements at 599 meV/atom.

Structure (POSCAR):
```
Tb3Ho8Pu
1.0
-4.297 4.297 5.652
4.297 -4.297 5.652
4.297 4.297 -5.652
Tb Ho Pu
3 8 1
Direct
0.000 0.000 0.000 Tb
0.250 0.750 0.500 Tb
0.750 0.250 0.500 Tb
0.141 0.394 0.000 Ho
0.237 0.237 0.538 Ho
0.301 0.763 0.000 Ho
0.394 0.141 0.000 Ho
0.606 0.606 0.747 Ho
0.699 0.699 0.462 Ho
0.763 0.301 0.000 Ho
0.859 0.859 0.253 Ho
0.500 0.500 0.000 Pu
```

[7]
SbAsHSe2 after structural relaxation, computed with PBE-GGA.

Properties
Its energy above the most stable polymorph in this dataset is 3.17 eV per formula unit.

Structure (POSCAR):
```
SbAsHSe2
1.0
5.386 0.000 0.000
0.000 5.386 0.000
0.000 0.000 5.453
Sb As H Se
1 1 1 2
Direct
0.000 0.000 0.000 Sb
0.000 0.000 0.500 As
0.500 0.500 0.500 H
0.000 0.500 0.000 Se
0.500 0.000 0.000 Se
```

[8]
HfTc2P2 after structural relaxation, computed with PBE-GGA.

Properties
The calculation puts the energy of formation from the pure elements at -471 meV/atom. Its energy above the most stable polymorph in this dataset is 0.00 eV per formula unit.

Structure (POSCAR):
```
HfTc2P2
1.0
7.028 0.000 0.000
0.000 7.028 0.000
0.000 0.000 2.949
Hf Tc P
2 4 4
Direct
0.000 0.000 0.000 Hf
0.500 0.500 0.000 Hf
0.143 0.357 0.500 Tc
0.357 0.857 0.500 Tc
0.643 0.143 0.500 Tc
0.857 0.643 0.500 Tc
0.151 0.651 0.000 P
0.349 0.151 0.000 P
0.651 0.849 0.000 P
0.849 0.349 0.000 P
```

Listing energy for the structures above in their given order: -6.00 -2.24 -7.52 -8.27 -1.84 -4.80 -2.76 -8.77 eV/atom.